No. 1
VASP calculation (PBE) on an optimized crystal structure of LaMgGa4Pt2.

a = 4.376 Å, b = 4.376 Å, c = 9.482 Å
α = 76.66°, β = 76.66°, γ = 60.00°
Element x y z (fractional)
Ga  0.877  0.877  0.369
Ga  0.398  0.398  0.805
Mg  0.500  0.500  0.500
La  0.000  0.000  0.000
Pt  0.772  0.772  0.684
Ga  0.602  0.602  0.195
Ga  0.123  0.123  0.631
Pt  0.228  0.228  0.316

Calculated values
Final energy, eV/f.u.: -36.1
Energy relative to the elements, eV/atom: -0.6708

No. 2
VASP calculation (PBE) on an optimized crystal structure of Sc3P2S.

a = 3.737 Å, b = 5.288 Å, c = 6.466 Å
α = 114.14°, β = 106.80°, γ = 90.00°
Element x y z (fractional)
P  0.834  0.834  0.169
S  0.500  0.500  0.500
P  0.166  0.166  0.831
Sc  0.829  0.329  0.158
Sc  0.500  0.000  0.500
Sc  0.171  0.671  0.842

Calculated values
Final energy, eV/f.u.: -44.0
Energy relative to the elements, uncorrected, eV/atom: -1.680

No. 3
VASP calculation (PBE) on an optimized crystal structure of Ac2In9Ni3.

a = 8.370 Å, b = 8.370 Å, c = 11.732 Å
α = 90.03°, β = 110.73°, γ = 120.19°
Element x y z (fractional)
In  0.138  0.984  0.950
In  0.535  0.188  0.550
In  0.792  0.482  0.431
Ni  0.168  0.833  0.501
Ni  0.832  0.167  0.499
In  0.465  0.812  0.450
In  0.862  0.016  0.050
Ac  0.666  0.752  0.251
In  0.213  0.688  0.069
Ni  0.500  0.000  0.000
In  0.452  0.918  0.748
In  0.787  0.312  0.931
Ac  0.001  0.415  0.249
In  0.208  0.518  0.569
In  0.449  0.640  0.931
In  0.882  0.857  0.569
In  0.548  0.082  0.252
In  0.330  0.295  0.248
In  0.118  0.143  0.431
Ac  0.334  0.248  0.749
In  0.551  0.360  0.069
Ni  0.168  0.333  0.001
In  0.670  0.705  0.752
Ac  0.999  0.585  0.751
Ni  0.500  0.500  0.500
Ni  0.832  0.667  0.999
In  0.117  0.867  0.250
In  0.883  0.133  0.750

Calculated values
Final energy, eV/f.u.: -53.4
Energy relative to the elements, eV/atom: -0.2289

No. 4
VASP calculation (PBE) on an optimized crystal structure of Mn6IrOs.

a = 3.650 Å, b = 5.224 Å, c = 5.224 Å
α = 89.99°, β = 90.00°, γ = 90.00°
Element x y z (fractional)
Mn  0.000  0.751  0.751
Ir  0.500  0.500  0.500
Mn  0.000  0.751  0.249
Mn  0.500  0.000  0.500
Os  0.500  0.000  0.000
Mn  0.000  0.249  0.751
Mn  0.500  0.500  0.000
Mn  0.000  0.249  0.249

Calculated values
Final energy, eV/f.u.: -75.8
Energy relative to the elements, eV/atom: -0.0863

No. 5
VASP calculation (PBE) on an optimized crystal structure of K2LiIn3Ag12.

a = 11.077 Å, b = 11.077 Å, c = 11.077 Å
α = 37.47°, β = 37.47°, γ = 37.47°
Element x y z (fractional)
Ag  0.817  0.424  0.424
K  0.343  0.343  0.343
In  0.000  0.000  0.500
Ag  0.334  0.940  0.940
Ag  0.576  0.183  0.576
In  0.500  0.000  0.000
Ag  0.424  0.424  0.817
Ag  0.666  0.060  0.060
Ag  0.940  0.940  0.334
Ag  0.060  0.060  0.666
K  0.657  0.657  0.657
Ag  0.424  0.817  0.424
Ag  0.183  0.576  0.576
Ag  0.060  0.666  0.060
Li  0.000  0.000  0.000
In  0.000  0.500  0.000
Ag  0.576  0.576  0.183
Ag  0.940  0.334  0.940

Calculated values
Final energy, eV/f.u.: -44.2
Energy relative to the elements, eV/atom: 0.1302

No. 6
VASP calculation (PBE) on an optimized crystal structure of LiSnPd6.

a = 7.940 Å, b = 7.940 Å, c = 7.940 Å
α = 150.11°, β = 150.11°, γ = 42.78°
Element x y z (fractional)
Pd  0.251  0.251  0.000
Pd  0.381  0.881  0.500
Pd  0.619  0.119  0.500
Sn  0.500  0.500  0.000
Pd  0.119  0.619  0.500
Pd  0.749  0.749  0.000
Pd  0.881  0.381  0.500
Li  0.000  0.000  0.000

Calculated values
Final energy, eV/f.u.: -40.0
Energy relative to the elements, eV/atom: -0.3720

No. 7
VASP calculation (PBE) on an optimized crystal structure of LiNiPd6.

a = 5.152 Å, b = 5.152 Å, c = 5.152 Å
α = 88.04°, β = 88.04°, γ = 88.04°
Element x y z (fractional)
Pd  0.170  0.170  0.551
Pd  0.830  0.830  0.449
Pd  0.551  0.170  0.170
Pd  0.830  0.449  0.830
Ni  0.500  0.500  0.500
Li  0.000  0.000  0.000
Pd  0.449  0.830  0.830
Pd  0.170  0.551  0.170

Calculated values
Final energy, eV/f.u.: -36.1
Energy relative to the elements, eV/atom: 0.3464

No. 8
VASP calculation (PBE) on an optimized crystal structure of Sn2GeAs2.

a = 7.851 Å, b = 7.851 Å, c = 3.795 Å
α = 90.00°, β = 90.00°, γ = 90.00°
Element x y z (fractional)
Sn  0.848  0.652  0.000
Sn  0.152  0.348  0.000
As  0.848  0.348  0.500
Sn  0.348  0.848  0.000
Sn  0.652  0.152  0.000
Ge  0.000  0.000  0.000
As  0.348  0.152  0.500
As  0.652  0.848  0.500
As  0.152  0.652  0.500
Ge  0.500  0.500  0.000

Calculated values
Final energy, eV/f.u.: -20.5
Energy relative to the elements, eV/atom: 0.2825